First-principles (GGA-PBE) data for an optimized crystal structure of Tb3PmGa2, as listed in the Alexandria database.

Lattice parameters (Å, degrees): 16.211 5.107 8.880 90.00 117.28 90.00
Space group C2/m (No. 12)
Unique sites:
1 Tb 0.063 0.000 0.217 (multiplicity 4)
2 Tb 0.123 0.500 0.010 (multiplicity 4)
3 Tb 0.188 0.500 0.495 (multiplicity 4)
4 Pm 0.128 0.000 0.689 (multiplicity 4)
5 Ga 0.012 0.500 0.649 (multiplicity 4)
6 Ga 0.226 0.000 0.113 (multiplicity 4)

## Properties
- DFT formation energy (eV per atom) = -0.331
- polymorph energy (0 for the lowest one) (meV/atom) = 84
- electronic total energy (eV per cell) = -106.716

---

First-principles (GGA-PBE) data for an optimized crystal structure of TbPm4Ga3, as listed in the Alexandria database.

Lattice parameters (Å, degrees): 11.901 11.901 6.080 90.00 90.00 90.00
Space group I4/mcm (No. 140)
Unique sites:
1 Tb 0.000 0.500 0.250 (multiplicity 4)
2 Pm 0.088 0.215 0.000 (multiplicity 16)
3 Ga 0.000 0.000 0.250 (multiplicity 4)
4 Ga 0.157 0.343 0.500 (multiplicity 8)

## Properties
- DFT formation energy (eV per atom) = -0.462
- electronic total energy (eV per cell) = -145.640

---

First-principles (GGA-PBE) data for an optimized crystal structure of TbPm2Ga2, as listed in the Alexandria database.

Lattice parameters (Å, degrees): 7.729 7.729 4.505 90.00 90.00 90.00
Space group P4/mbm (No. 127)
Unique sites:
1 Tb 0.000 0.000 0.000 (multiplicity 2)
2 Pm 0.174 0.326 0.500 (multiplicity 4)
3 Ga 0.119 0.619 0.000 (multiplicity 4)

## Properties
- DFT formation energy (eV per atom) = -0.508
- polymorph energy (0 for the lowest one) (meV/atom) = 0
- electronic total energy (eV per cell) = -45.450

---

First-principles (GGA-PBE) data for an optimized crystal structure of Tb3PmGa4, as listed in the Alexandria database.

Lattice parameters (Å, degrees): 3.582 6.834 16.778 90.00 90.00 90.00
Space group Immm (No. 71)
Unique sites:
1 Tb 0.000 0.000 0.000 (multiplicity 2)
2 Tb 0.000 0.500 0.202 (multiplicity 4)
3 Pm 0.000 0.000 0.500 (multiplicity 2)
4 Ga 0.000 0.310 0.369 (multiplicity 8)

## Properties
- DFT formation energy (eV per atom) = -0.453
- polymorph energy (0 for the lowest one) (meV/atom) = 128
- electronic total energy (eV per cell) = -68.746